(1)
Compound: Sb2AuSe
Source: the Alexandria database
Functional: PBE
Structure: optimized geometry

```
data_Sb2AuSe
_space_group_name_H-M_alt 'F -4 3 m'
_space_group_IT_number 216
_space_group_name_Hall 'F -4 2 3'
_cell_length_a 7.219
_cell_length_b 7.219
_cell_length_c 7.219
_cell_angle_alpha 90.00
_cell_angle_beta 90.00
_cell_angle_gamma 90.00
loop_
_atom_site_label
_atom_site_type_symbol
_atom_site_fract_x
_atom_site_fract_y
_atom_site_fract_z
Sb1 Sb 0.000 0.000 0.000
Sb2 Sb 0.250 0.250 0.250
Au1 Au 0.000 0.000 0.500
Se1 Se 0.250 0.250 0.750
```

Summary:
Total DFT energy (no corrections) ... -3.482 eV/atom
Magnetization ... 0.0 μB per cell



(2)
Compound: Na4ThSc3S8
Source: the Alexandria database
Functional: PBE
Structure: optimized geometry

```
data_Na4ThSc3S8
_space_group_name_H-M_alt 'C 1 2/m 1'
_space_group_IT_number 12
_cell_length_a 13.350
_cell_length_b 7.707
_cell_length_c 8.029
_cell_angle_alpha 90.00
_cell_angle_beta 123.66
_cell_angle_gamma 90.00
loop_
_space_group_symop_operation_xyz
'x,y,z'
'-x,-y,-z'
'-x,y,-z'
'x,-y,z'
'x+1/2,y+1/2,z'
'-x+1/2,-y+1/2,-z'
'-x+1/2,y+1/2,-z'
'x+1/2,-y+1/2,z'
loop_
_atom_site_label
_atom_site_type_symbol
_atom_site_fract_x
_atom_site_fract_y
_atom_site_fract_z
Na1 Na 0.000 0.000 0.000
Na2 Na 0.000 0.500 0.000
Na3 Na 0.250 0.250 0.000
Th1 Th 0.000 0.000 0.500
Sc1 Sc 0.000 0.500 0.500
Sc2 Sc 0.250 0.250 0.500
S1 S 0.012 0.261 0.274
S2 S 0.238 0.500 0.714
S3 S 0.249 0.000 0.724
```

Summary:
Total DFT energy (no corrections) ... -5.754 eV/atom
Magnetization ... 0.0 μB per cell



(3)
Compound: Li3ScU2Se6
Source: the Alexandria database
Functional: PBE
Structure: optimized geometry

```
data_Li3ScU2Se6
_space_group_name_H-M_alt 'C 1 2/m 1'
_space_group_IT_number 12
_cell_length_a 6.896
_cell_length_b 11.950
_cell_length_c 6.939
_cell_angle_alpha 90.00
_cell_angle_beta 109.34
_cell_angle_gamma 90.00
loop_
_space_group_symop_operation_xyz
'x,y,z'
'-x,-y,-z'
'-x,y,-z'
'x,-y,z'
'x+1/2,y+1/2,z'
'-x+1/2,-y+1/2,-z'
'-x+1/2,y+1/2,-z'
'x+1/2,-y+1/2,z'
loop_
_atom_site_label
_atom_site_type_symbol
_atom_site_fract_x
_atom_site_fract_y
_atom_site_fract_z
Li1 Li 0.000 0.000 0.000
Li2 Li 0.000 0.334 0.000
Sc1 Sc 0.000 0.500 0.500
U1 U 0.000 0.167 0.500
Se1 Se 0.237 0.500 0.247
Se2 Se 0.246 0.339 0.755
```

Summary:
Total DFT energy (no corrections) ... -5.937 eV/atom
Magnetization ... 12.0 μB per cell



Mass density? In order: 9.169, 3.455, 6.251 g/cm3.